Entry 1:
## ZnIn2Br (PBEsol)

Data for a relaxed ZnIn2Br crystal.

## Properties
**Polymorph energy (0 for the lowest one)**: 0.0 meV/atom
**Raw formation energy**: -0.084 eV/atom
**Mass density**: 6.5 g/cm3
**Space-group type**: Imm2, No. 44

Cell lengths 3.480, 5.338, 6.036 Å; angles 116.24, 106.76, 90.00 degrees
Fractional coordinates of all 4 atoms:
Br: 0.216 0.716 0.431
Zn: 0.500 0.500 0.999
In: 0.779 0.279 0.559
In: 0.005 0.005 0.010


Entry 2:
## KIrRu (PBEsol)

Data for a relaxed KIrRu crystal.

## Properties
**Polymorph energy (0 for the lowest one)**: 766.4 meV/atom
**Mass density**: 9.4 g/cm3
**Space-group type**: F-43m, No. 216
**Formation energy from the elements**: 1623.9 meV per atom

Cell lengths 4.358, 4.358, 4.358 Å; angles 60.00, 60.00, 60.00 degrees
Fractional coordinates of all 3 atoms:
Ru: 0.250 0.250 0.250
Ir: 0.000 0.000 0.000
K: 0.500 0.500 0.500


Entry 3:
## CdPtCl (PBEsol)

Data for a relaxed CdPtCl crystal.

## Properties
**Polymorph energy (0 for the lowest one)**: 162.1 meV/atom
**Raw formation energy**: 0.150 eV/atom
**Mass density**: 9.2 g/cm3
**Space-group type**: F-43m, No. 216

Cell lengths 4.443, 4.443, 4.443 Å; angles 60.00, 60.00, 60.00 degrees
Fractional coordinates of all 3 atoms:
Cd: 0.000 0.000 0.000
Pt: 0.750 0.750 0.750
Cl: 0.500 0.500 0.500


Entry 4:
## Mn2CrPt (PBEsol)

Data for a relaxed Mn2CrPt crystal.

## Properties
**Mass density**: 12.1 g/cm3
**Space-group type**: I4/mmm, No. 139
**Formation energy from the elements**: -47.1 meV per atom

Cell lengths 3.679, 3.679, 4.446 Å; angles 114.44, 114.44, 90.00 degrees
Each line ends with the local moment (μB).
Fractional coordinates of all 4 atoms:
Cr: 0.000 0.000 0.000  -1.83
Mn: 0.250 0.750 0.500  1.80
Mn: 0.750 0.250 0.500  1.80
Pt: 0.500 0.500 0.000  -0.09